No. 1
BaSm2Tl: relaxed, GGA-PBE.

a b c (Å): 3.788 3.788 10.232
angles (deg): 90.00 90.00 90.00
Space group P4/mmm (No. 123)
Asymmetric unit:
Ba  0.000  0.000  0.000 [1 per cell]
Sm  0.500  0.500  0.305 [2 per cell]
Tl  0.000  0.000  0.500 [1 per cell]

Summary:
density of states at the Fermi level = 5.0 states/eV per cell
ρ = 7.3 Mg/m³
E = -3.484 eV/atom

---

No. 2
BaSm2Tl2: relaxed, GGA-PBE.

a b c (Å): 7.535 5.363 9.322
angles (deg): 90.00 113.80 90.00
Space group P2_1/m (No. 11)
Asymmetric unit:
Ba  0.094  0.250  0.188 [2 per cell]
Sm  0.268  0.750  0.537 [2 per cell]
Sm  0.457  0.750  0.912 [2 per cell]
Tl  0.165  0.250  0.736 [2 per cell]
Tl  0.429  0.750  0.264 [2 per cell]

Summary:
density of states at the Fermi level = 5.8 states/eV per cell
ρ = 8.2 Mg/m³
E = -3.429 eV/atom

---

No. 3
BaSm2Tl: relaxed, GGA-PBE.

a b c (Å): 3.7748 3.7748 36.7198
angles (deg): 90.00 90.00 120.00
Space group R-3m (No. 166, hexagonal axes)
Asymmetric unit:
Ba  0.0000  0.0000  0.0000 [3 per cell]
Sm  0.0000  0.0000  0.1007 [6 per cell]
Tl  0.0000  0.0000  0.5000 [3 per cell]

Summary:
density of states at the Fermi level = 16.5 states/eV per cell
ρ = 7.1 Mg/m³
E = -3.331 eV/atom